1.
First-principles (PBE) data for a relaxed structure of CuNi5Pt8, as listed in the Alexandria database.

Cell lengths 6.428, 6.428, 6.428 Å; angles 109.64, 109.64, 109.14 degrees
Each line ends with the local moment (μB).
Fractional positions:
Ni1 0.729 0.535 0.586  0.74
Ni2 0.948 0.143 0.414  0.74
Ni3 0.500 0.500 0.000  0.62
Ni4 0.465 0.052 0.195  0.74
Ni5 0.857 0.271 0.805  0.74
Pt1 0.397 0.193 0.581  0.27
Pt2 0.184 0.603 0.796  0.27
Pt3 0.231 0.332 0.230  0.27
Pt4 0.807 0.388 0.204  0.27
Pt5 0.668 0.899 0.899  0.27
Pt6 0.612 0.816 0.419  0.27
Pt7 0.101 0.000 0.770  0.27
Pt8 0.000 0.769 0.101  0.27
Cu1 0.250 0.750 0.500  0.12

## Properties
Its energy relative to the lowest polymorph listed for this composition is 0.015 eV per atom. As for the energy: -5.655 eV/atom. Its calculated volume is 204.4 Å³ per cell.

2.
First-principles (PBE) data for a relaxed structure of Cu2Ni3Pt4, as listed in the Alexandria database.

Cell lengths 2.688, 2.688, 19.883 Å; angles 90.00, 90.00, 120.00 degrees
Each line ends with the local moment (μB).
Fractional positions:
Ni1 0.000 0.000 0.981  -0.02
Ni2 0.000 0.000 0.318  0.85
Ni3 0.667 0.333 0.660  0.84
Cu1 0.667 0.333 0.882  0.01
Cu2 0.667 0.333 0.080  0.01
Pt1 0.667 0.333 0.209  0.06
Pt2 0.667 0.333 0.426  0.21
Pt3 0.000 0.000 0.769  0.05
Pt4 0.000 0.000 0.552  0.22

## Properties
Its energy relative to the lowest polymorph listed for this composition is 0.027 eV per atom. As for the energy: -5.487 eV/atom. Its calculated volume is 124.4 Å³ per cell.

3.
First-principles (PBE) data for a relaxed structure of CuNi2Pt, as listed in the Alexandria database.

Cell lengths 2.667, 2.667, 6.996 Å; angles 90.00, 90.00, 90.00 degrees
Each line ends with the local moment (μB).
Fractional positions:
Ni1 0.000 0.000 0.987  0.49
Ni2 0.000 0.000 0.513  0.49
Pt1 0.500 0.500 0.250  0.23
Cu1 0.500 0.500 0.750  0.04

## Properties
As for the energy: -5.447 eV/atom. Its calculated volume is 49.8 Å³ per cell.

Number 1: ΔE_f 154 meV/atom. Number 2: ΔE_f 36 meV/atom. Number 3: ΔE_f -22 meV/atom.